An optimized crystal structure of Ag2P2Se, computed with PBE.

Lattice parameters (Å, degrees): 7.985 7.985 2.862 90.00 90.00 90.00
Positions (direct):
Ag 0.124 0.376 0.000
Ag 0.376 0.876 0.000
Ag 0.624 0.124 0.000
Ag 0.876 0.624 0.000
P 0.182 0.682 0.500
P 0.318 0.182 0.500
P 0.682 0.818 0.500
P 0.818 0.318 0.500
Se 0.000 0.000 0.500
Se 0.500 0.500 0.500

Total magnetization, μB per atom: 0.00
Space-group type: P4/mbm
Energy relative to the lowest polymorph listed for this composition, kcal/mol of atoms: 0.59
Energy relative to the elements, uncorrected, kJ/mol of atoms: 42.1